## CsV3F (GGA+U)

Data for an optimized crystal structure of CsV3F.

- Offset from the most stable computed form: 29.48 kcal/mol of atoms
- Fermi-level density of states: 6.44 states/eV/f.u.

a = 6.444 Å, b = 6.444 Å, c = 6.444 Å
α = 90.00°, β = 90.00°, γ = 90.00°
Atoms (fractional coordinates):
Cs: 0.000 0.000 0.000
V: 0.000 0.000 0.500
V: 0.000 0.500 0.000
V: 0.500 0.000 0.000
F: 0.500 0.500 0.500